Record 1
An optimized crystal structure of TmMg3Au3, computed with PBE-GGA.

## Properties
energy of formation from the pure elements: -9 meV/atom

Cell lengths 7.212, 7.212, 7.212 Å; angles 90.00, 90.00, 90.00 degrees
Fractional coordinates of all 14 atoms:
Tm  0.000  0.000  0.000
Tm  0.500  0.500  0.500
Mg  0.000  0.250  0.500
Mg  0.000  0.750  0.500
Mg  0.250  0.500  0.000
Mg  0.500  0.000  0.250
Mg  0.500  0.000  0.750
Mg  0.750  0.500  0.000
Au  0.000  0.500  0.250
Au  0.000  0.500  0.750
Au  0.250  0.000  0.500
Au  0.500  0.250  0.000
Au  0.500  0.750  0.000
Au  0.750  0.000  0.500

Record 2
An optimized crystal structure of AlCuO, computed with PBE-GGA.

## Properties
polymorph energy (0 for the lowest one): 0.00 eV/f.u.

Cell lengths 3.085, 3.772, 5.913 Å; angles 90.00, 90.00, 90.00 degrees
Fractional coordinates of all 6 atoms:
Al  0.250  0.250  0.143
Al  0.750  0.750  0.857
Cu  0.250  0.750  0.502
Cu  0.750  0.250  0.498
O  0.250  0.750  0.046
O  0.750  0.250  0.954

Record 3
An optimized crystal structure of Dy4Ag2Au, computed with PBE-GGA.

## Properties
energy of formation from the pure elements: -326 meV/atom

Cell lengths 8.805, 8.805, 8.805 Å; angles 33.46, 33.46, 33.46 degrees
Fractional coordinates of all 7 atoms:
Dy  0.125  0.125  0.125
Dy  0.375  0.375  0.375
Dy  0.625  0.625  0.625
Dy  0.875  0.875  0.875
Ag  0.247  0.247  0.247
Ag  0.753  0.753  0.753
Au  0.000  0.000  0.000

Record 4
An optimized crystal structure of NaPd2I, computed with PBE-GGA.

## Properties
polymorph energy (0 for the lowest one): 0.00 eV/f.u.

Cell lengths 10.104, 10.104, 10.104 Å; angles 155.77, 155.77, 34.53 degrees
Fractional coordinates of all 8 atoms:
Na  0.000  0.000  0.000
Na  0.750  0.250  0.500
Pd  0.150  0.625  0.025
Pd  0.375  0.400  0.525
Pd  0.600  0.125  0.975
Pd  0.875  0.850  0.475
I  0.250  0.750  0.500
I  0.500  0.500  0.000

Record 5
An optimized crystal structure of Y2Hf2Pt, computed with PBE-GGA.

## Properties
polymorph energy (0 for the lowest one): 0.00 eV/f.u.
energy of formation from the pure elements: -298 meV/atom

Cell lengths 6.959, 6.959, 5.167 Å; angles 90.00, 90.00, 90.00 degrees
Fractional coordinates of all 10 atoms:
Y  0.164  0.336  0.000
Y  0.336  0.836  0.000
Y  0.664  0.164  0.000
Y  0.836  0.664  0.000
Hf  0.150  0.650  0.500
Hf  0.350  0.150  0.500
Hf  0.650  0.850  0.500
Hf  0.850  0.350  0.500
Pt  0.000  0.000  0.500
Pt  0.500  0.500  0.500

Record 6
An optimized crystal structure of CaHfMn2Pt, computed with PBE-GGA.

## Properties
energy of formation from the pure elements: 1998 meV/atom

Cell lengths 4.193, 4.193, 4.884 Å; angles 90.00, 90.00, 90.00 degrees
Fractional coordinates of all 5 atoms:
Ca  0.000  0.000  0.000
Hf  0.000  0.000  0.500
Mn  0.000  0.500  0.000
Mn  0.500  0.000  0.000
Pt  0.500  0.500  0.500

Record 7
An optimized crystal structure of KBeBr3, computed with PBE-GGA.

## Properties
polymorph energy (0 for the lowest one): 0.00 eV/f.u.

Cell lengths 9.679, 9.679, 14.268 Å; angles 110.00, 110.00, 59.91 degrees
Fractional coordinates of all 30 atoms:
K  0.000  0.500  0.500
K  0.161  0.679  0.000
K  0.321  0.839  0.500
K  0.500  0.000  0.000
K  0.679  0.161  0.500
K  0.839  0.321  0.000
Be  0.083  0.158  0.750
Be  0.158  0.083  0.250
Be  0.326  0.674  0.750
Be  0.674  0.326  0.250
Be  0.842  0.917  0.750
Be  0.917  0.842  0.250
Br  0.035  0.219  0.606
Br  0.083  0.691  0.749
Br  0.130  0.318  0.891
Br  0.142  0.858  0.250
Br  0.219  0.035  0.106
Br  0.309  0.917  0.751
Br  0.318  0.130  0.391
Br  0.389  0.516  0.608
Br  0.484  0.611  0.892
Br  0.516  0.389  0.108
Br  0.611  0.484  0.392
Br  0.682  0.870  0.609
Br  0.691  0.083  0.249
Br  0.781  0.965  0.894
Br  0.858  0.142  0.750
Br  0.870  0.682  0.109
Br  0.917  0.309  0.251
Br  0.965  0.781  0.394

Record 8
An optimized crystal structure of BaMg6CuO8, computed with PBE-GGA.

## Properties
polymorph energy (0 for the lowest one): 0.00 eV/f.u.

Cell lengths 4.500, 4.500, 9.365 Å; angles 90.00, 90.00, 90.00 degrees
Fractional coordinates of all 16 atoms:
Ba  0.000  0.000  0.000
Mg  0.000  0.000  0.500
Mg  0.000  0.500  0.280
Mg  0.000  0.500  0.720
Mg  0.500  0.000  0.280
Mg  0.500  0.000  0.720
Mg  0.500  0.500  0.500
Cu  0.500  0.500  0.000
O  0.000  0.000  0.283
O  0.000  0.000  0.717
O  0.000  0.500  0.000
O  0.000  0.500  0.500
O  0.500  0.000  0.000
O  0.500  0.000  0.500
O  0.500  0.500  0.276
O  0.500  0.500  0.724

Record 9
An optimized crystal structure of CaSN3, computed with PBE-GGA.

## Properties
uncorrected energy: -3.756 eV per atom

Cell lengths 4.575, 4.575, 4.575 Å; angles 90.00, 90.00, 90.00 degrees
Fractional coordinates of all 5 atoms:
Ca  0.000  0.000  0.000
S  0.500  0.500  0.500
N  0.000  0.000  0.500
N  0.000  0.500  0.000
N  0.500  0.000  0.000

Record 10
An optimized crystal structure of Tl2NiRh, computed with PBE-GGA.

## Properties
polymorph energy (0 for the lowest one): 0.17 eV/f.u.
energy of formation from the pure elements: 245 meV/atom

Cell lengths 4.635, 4.635, 3.346 Å; angles 90.00, 90.00, 94.21 degrees
Fractional coordinates of all 4 atoms:
Tl  0.000  0.500  0.000
Tl  0.500  0.000  0.000
Ni  0.000  0.000  0.500
Rh  0.500  0.500  0.500

Spin magnetization / μB per cell: 0.000, 0.000, 0.000, 0.000, 0.000, 0.001, 0.000, 0.134, 5.589, 0.000